Record 1
# In5Au3 | Alexandria via LeMat-Bulk | PBE | relaxed
data_In5Au3
_chemical_formula_sum 'In10 Au6'
_symmetry_space_group_name_H-M 'C m m m'
_symmetry_Int_Tables_number 65
_symmetry_space_group_name_Hall '-C 2 2'
_cell_length_a 8.056
_cell_length_b 10.360
_cell_length_c 4.475
_cell_angle_alpha 90.00
_cell_angle_beta 90.00
_cell_angle_gamma 90.00
loop_
_atom_site_label
_atom_site_type_symbol
_atom_site_fract_x
_atom_site_fract_y
_atom_site_fract_z
In1 In 0.000 0.000 0.000
In2 In 0.209 0.500 0.500
In3 In 0.250 0.250 0.000
Au1 Au 0.000 0.198 0.500
Au2 Au 0.000 0.500 0.000
# Polymorph energy (0 for the lowest one)   80 meV per atom
# Magnetic moment   0.0 μB/f.u.

Record 2
# In3Au | Alexandria via LeMat-Bulk | PBE | relaxed
data_In3Au
_chemical_formula_sum 'In3 Au1'
_symmetry_space_group_name_H-M 'P m m 2'
_symmetry_Int_Tables_number 25
_cell_length_a 3.305
_cell_length_b 3.564
_cell_length_c 8.610
_cell_angle_alpha 90.00
_cell_angle_beta 90.00
_cell_angle_gamma 90.00
loop_
_symmetry_equiv_pos_as_xyz
'x,y,z'
'-x,-y,z'
'-x,y,z'
'x,-y,z'
loop_
_atom_site_label
_atom_site_type_symbol
_atom_site_fract_x
_atom_site_fract_y
_atom_site_fract_z
In1 In 0.000 0.000 0.000
In2 In 0.000 0.500 0.301
In3 In 0.500 0.500 0.743
Au1 Au 0.500 0.000 0.486
# Uncorrected energy   -2.924 eV per atom
# Magnetic moment   0.0 μB/f.u.

Record 3
# InAu3 | Alexandria via LeMat-Bulk | PBE | relaxed
data_InAu3
_chemical_formula_sum 'In2 Au6'
_symmetry_space_group_name_H-M 'I m m 2'
_symmetry_Int_Tables_number 44
_cell_length_a 3.412
_cell_length_b 9.306
_cell_length_c 4.857
_cell_angle_alpha 90.00
_cell_angle_beta 90.00
_cell_angle_gamma 90.00
loop_
_symmetry_equiv_pos_as_xyz
'x,y,z'
'-x,-y,z'
'-x,y,z'
'x,-y,z'
'x+1/2,y+1/2,z+1/2'
'-x+1/2,-y+1/2,z+1/2'
'-x+1/2,y+1/2,z+1/2'
'x+1/2,-y+1/2,z+1/2'
loop_
_atom_site_label
_atom_site_type_symbol
_atom_site_fract_x
_atom_site_fract_y
_atom_site_fract_z
In1 In 0.000 0.000 0.000
Au1 Au 0.000 0.244 0.370
Au2 Au 0.000 0.500 0.020
# Uncorrected energy   -3.241 eV per atom
# Magnetic moment   0.0 μB/f.u.

Record 4
# In3Au | Alexandria via LeMat-Bulk | PBE | relaxed
data_In3Au
_chemical_formula_sum 'In6 Au2'
_symmetry_space_group_name_H-M 'C m m m'
_symmetry_Int_Tables_number 65
_symmetry_space_group_name_Hall '-C 2 2'
_cell_length_a 6.134
_cell_length_b 8.729
_cell_length_c 3.608
_cell_angle_alpha 90.00
_cell_angle_beta 90.00
_cell_angle_gamma 90.00
loop_
_atom_site_label
_atom_site_type_symbol
_atom_site_fract_x
_atom_site_fract_y
_atom_site_fract_z
In1 In 0.000 0.000 0.000
In2 In 0.250 0.250 0.500
Au1 Au 0.000 0.500 0.000
# Uncorrected energy   -2.882 eV per atom
# Magnetic moment   0.0 μB/f.u.

Record 5
# In3Au | Alexandria via LeMat-Bulk | PBE | relaxed
data_In3Au
_chemical_formula_sum 'In12 Au4'
_symmetry_space_group_name_H-M 'P 63/m m c'
_symmetry_Int_Tables_number 194
_symmetry_space_group_name_Hall '-P 6c 2c'
_cell_length_a 6.7973
_cell_length_b 6.7973
_cell_length_c 9.7412
_cell_angle_alpha 90.00
_cell_angle_beta 90.00
_cell_angle_gamma 120.00
loop_
_atom_site_label
_atom_site_type_symbol
_atom_site_fract_x
_atom_site_fract_y
_atom_site_fract_z
In1 In 0.0000 0.5000 0.0000
In2 In 0.1583 0.3167 0.2500
Au1 Au 0.0000 0.0000 0.0000
Au2 Au 0.3333 0.6667 0.7500
# Uncorrected energy   -2.893 eV per atom
# Magnetic moment   0.0 μB/f.u.

Record 6
# In5Au3 | Alexandria via LeMat-Bulk | PBE | relaxed
data_In5Au3
_chemical_formula_sum 'In20 Au12'
_symmetry_space_group_name_H-M 'P n m a'
_symmetry_Int_Tables_number 62
_cell_length_a 12.708
_cell_length_b 8.166
_cell_length_c 7.383
_cell_angle_alpha 90.00
_cell_angle_beta 90.00
_cell_angle_gamma 90.00
loop_
_symmetry_equiv_pos_as_xyz
'x,y,z'
'-x,-y,-z'
'-x+1/2,-y,z+1/2'
'x+1/2,y,-z+1/2'
'x+1/2,-y+1/2,-z+1/2'
'-x+1/2,y+1/2,z+1/2'
'-x,y+1/2,-z'
'x,-y+1/2,z'
loop_
_atom_site_label
_atom_site_type_symbol
_atom_site_fract_x
_atom_site_fract_y
_atom_site_fract_z
In1 In 0.001 0.250 0.029
In2 In 0.101 0.539 0.315
In3 In 0.185 0.250 0.660
In4 In 0.212 0.750 0.687
Au1 Au 0.002 0.250 0.434
Au2 Au 0.180 0.007 0.955
# Polymorph energy (0 for the lowest one)   0 meV per atom
# Magnetic moment   0.0 μB/f.u.

magnetic moment of number 3 (InAu3)?
0.0 μB/f.u.

magnetic moment of number 4 (In3Au)?
0.0 μB/f.u.